An optimized crystal structure of CuNi2O3, computed with PBE+U.

Geometry as POSCAR:
```
CuNi2O3
1.0
6.056 0.000 0.000
0.000 4.181 0.000
0.000 0.000 9.056
Cu Ni O
4 8 12
direct
0.141 0.250 0.083
0.359 0.750 0.583
0.641 0.250 0.417
0.859 0.750 0.917
0.108 0.250 0.755
0.133 0.250 0.416
0.367 0.750 0.916
0.392 0.750 0.255
0.608 0.250 0.745
0.633 0.250 0.084
0.867 0.750 0.584
0.892 0.750 0.245
0.088 0.750 0.765
0.135 0.750 0.422
0.153 0.750 0.095
0.347 0.250 0.595
0.365 0.250 0.922
0.412 0.250 0.265
0.588 0.750 0.735
0.635 0.750 0.078
0.653 0.750 0.405
0.847 0.250 0.905
0.865 0.250 0.578
0.912 0.250 0.235
```

mass density = 6631 kg/m3
relative energy among the computed polymorphs = 0.0 kJ per mole of atoms
V = 9.6 Å³ per atom